Entry 1:
# ZnTcS2N PBE relaxed
# E_tot	-4.319	eV per atom
# E above lowest polymorph	1.038	eV/atom
data_ZnTcS2N
_space_group_name_H-M_alt 'P 4/m m m'
_space_group_IT_number 123
_space_group_name_Hall '-P 4 2'
_cell_length_a 4.764
_cell_length_b 4.764
_cell_length_c 3.644
_cell_angle_alpha 90.00
_cell_angle_beta 90.00
_cell_angle_gamma 90.00
loop_
_atom_site_label
_atom_site_type_symbol
_atom_site_fract_x
_atom_site_fract_y
_atom_site_fract_z
Zn1 Zn 0.000 0.000 0.000
Tc1 Tc 0.500 0.500 0.500
S1 S 0.000 0.500 0.000
N1 N 0.000 0.000 0.500

***

Entry 2:
# NdY2ReO8 PBE relaxed
# E_tot	-8.555	eV per atom
data_NdY2ReO8
_space_group_name_H-M_alt 'C m m m'
_space_group_IT_number 65
_space_group_name_Hall '-C 2 2'
_cell_length_a 7.186
_cell_length_b 7.204
_cell_length_c 6.878
_cell_angle_alpha 90.00
_cell_angle_beta 90.00
_cell_angle_gamma 90.00
loop_
_atom_site_label
_atom_site_type_symbol
_atom_site_fract_x
_atom_site_fract_y
_atom_site_fract_z
Nd1 Nd 0.000 0.000 0.000
Y1 Y 0.000 0.500 0.249
Re1 Re 0.000 0.000 0.500
O1 O 0.000 0.265 0.500
O2 O 0.000 0.315 0.000
O3 O 0.183 0.000 0.299

***

| no. | formation energy (no corrections) (eV/atom) | mass density (g cm⁻³) |
| --- | --- | --- |
| 1 | 1.325 | 4.85 |
| 2 | -2.738 | 5.94 |